(1)
## Sb2RuPb (PBE)

Data for crystalline Sb2RuPb at its relaxed geometry.

abc: 9.218 3.503 6.737
angles: 90.00 109.30 90.00
Fractional positions:
Sb  0.000  0.000  0.000
Sb  0.153  0.000  0.646
Sb  0.500  0.500  0.000
Sb  0.653  0.500  0.646
Ru  0.450  0.000  0.682
Ru  0.950  0.500  0.682
Pb  0.298  0.500  0.295
Pb  0.798  0.000  0.295

Computed properties:
**DOS at the Fermi energy**: 6.62 states/eV/cell
**Energy**: -42.12 eV/cell
**Uncorrected formation energy**: 0.04 eV/atom


(2)
## CaAc3Pb3 (PBE)

Data for crystalline CaAc3Pb3 at its relaxed geometry.

abc: 8.461 8.461 8.463
angles: 90.38 90.38 111.64
Fractional positions:
Ca  0.222  0.222  0.099
Ca  0.778  0.778  0.901
Ac  0.130  0.130  0.646
Ac  0.274  0.726  0.000
Ac  0.346  0.654  0.500
Ac  0.654  0.346  0.500
Ac  0.726  0.274  0.000
Ac  0.870  0.870  0.354
Pb  0.001  0.659  0.682
Pb  0.341  0.999  0.318
Pb  0.442  0.442  0.817
Pb  0.558  0.558  0.183
Pb  0.659  0.001  0.682
Pb  0.999  0.341  0.318

Computed properties:
**DOS at the Fermi energy**: 6.53 states/eV/cell
**Energy**: -55.68 eV/cell


(3)
## Dy5Bi5Te (PBE)

Data for crystalline Dy5Bi5Te at its relaxed geometry.

abc: 7.665 7.665 8.881
angles: 107.19 107.19 47.81
Fractional positions:
Dy  0.000  0.000  0.000
Dy  0.327  0.327  0.164
Dy  0.332  0.332  0.666
Dy  0.668  0.668  0.334
Dy  0.673  0.673  0.836
Bi  0.157  0.157  0.816
Bi  0.158  0.158  0.340
Bi  0.500  0.500  0.500
Bi  0.842  0.842  0.660
Bi  0.843  0.843  0.184
Te  0.500  0.500  0.000

Computed properties:
**DOS at the Fermi energy**: 4.61 states/eV/cell
**Energy**: -53.83 eV/cell
**Uncorrected formation energy**: -0.75 eV/atom


(4)
## LiYSc2C (PBE)

Data for crystalline LiYSc2C at its relaxed geometry.

abc: 4.536 4.536 5.102
angles: 90.00 90.00 90.00
Fractional positions:
Li  0.000  0.000  0.000
Y  0.500  0.500  0.000
Sc  0.000  0.500  0.500
Sc  0.500  0.000  0.500
C  0.500  0.500  0.500

Computed properties:
**DOS at the Fermi energy**: 4.25 states/eV/cell
**Energy**: -31.06 eV/cell


(5)
## Y4MnSi (PBE)

Data for crystalline Y4MnSi at its relaxed geometry.

abc: 6.167 6.167 6.167
angles: 60.00 60.00 60.00
Fractional positions:
Y  0.125  0.125  0.125
Y  0.125  0.125  0.625
Y  0.125  0.625  0.125
Y  0.625  0.125  0.125
Mn  0.750  0.750  0.750
Si  0.500  0.500  0.500

Computed properties:
**DOS at the Fermi energy**: 7.02 states/eV/cell
**Energy**: -36.23 eV/cell
**Uncorrected formation energy**: 0.70 eV/atom


(6)
## CsMnSnSe3 (PBE)

Data for crystalline CsMnSnSe3 at its relaxed geometry.

abc: 9.884 4.273 10.256
angles: 90.00 110.21 90.00
Fractional positions:
Cs  0.207  0.250  0.238
Cs  0.793  0.750  0.762
Mn  0.080  0.250  0.606
Mn  0.920  0.750  0.394
Sn  0.342  0.750  0.870
Sn  0.658  0.250  0.130
Se  0.132  0.250  0.856
Se  0.188  0.750  0.540
Se  0.470  0.750  0.155
Se  0.530  0.250  0.845
Se  0.812  0.250  0.460
Se  0.868  0.750  0.144

Computed properties:
**DOS at the Fermi energy**: 5.33 states/eV/cell
**Energy**: -56.55 eV/cell
**Uncorrected formation energy**: -0.63 eV/atom


(7)
## LaTb2Pm7 (PBE)

Data for crystalline LaTb2Pm7 at its relaxed geometry.

abc: 9.261 9.261 5.749
angles: 90.00 90.00 122.37
Fractional positions:
La  0.000  0.000  0.000
Tb  0.297  0.703  0.500
Tb  0.703  0.297  0.500
Pm  0.062  0.296  0.500
Pm  0.228  0.772  0.000
Pm  0.296  0.062  0.500
Pm  0.500  0.500  0.500
Pm  0.704  0.938  0.500
Pm  0.772  0.228  0.000
Pm  0.938  0.704  0.500

Computed properties:
**DOS at the Fermi energy**: 14.16 states/eV/cell
**Energy**: -41.06 eV/cell
**Excess energy over the best structure of this formula in the dataset**: 0.446 eV/atom


(8)
## SnSBr (PBE)

Data for crystalline SnSBr at its relaxed geometry.

abc: 7.167 12.450 5.088
angles: 90.00 124.67 90.00
Fractional positions:
Sn  0.000  0.158  0.000
Sn  0.000  0.842  0.000
Sn  0.500  0.342  0.000
Sn  0.500  0.658  0.000
S  0.126  0.000  0.745
S  0.374  0.500  0.255
S  0.626  0.500  0.745
S  0.874  0.000  0.255
Br  0.000  0.335  0.500
Br  0.000  0.665  0.500
Br  0.500  0.165  0.500
Br  0.500  0.835  0.500

Computed properties:
**Energy**: -44.59 eV/cell
**Uncorrected formation energy**: -0.45 eV/atom


- Look up the energy of the fourth one.
  -31.06 eV/cell